Compound: SiPNO2
Source: the Alexandria database
Functional: SCAN
Structure: PBEsol geometry

The structure belongs to space group P4/mmm (No. 123); the cell edges are 3.4474, 3.4474 and 3.6186 Å and the angles 90.00°, 90.00° and 90.00°. The distinct sites, in fractional coordinates, are Si at (0.0000, 0.0000, 0.0000), P at (0.5000, 0.5000, 0.5000), N at (0.5000, 0.5000, 0.0000) and O at (0.0000, 0.5000, 0.5000).

As for the raw formation energy: -321.7 meV/atom. For the spin magnetization, the calculation gives 0.0 Bohr magnetons per cell.

Compound: SiPN2O
Source: the Alexandria database
Functional: SCAN
Structure: PBEsol geometry

The structure belongs to space group P4/mmm (No. 123); the cell edges are 3.5772, 3.5772 and 3.2785 Å and the angles 90.00°, 90.00° and 90.00°. The distinct sites, in fractional coordinates, are Si at (0.0000, 0.0000, 0.0000), P at (0.5000, 0.5000, 0.5000), N at (0.0000, 0.5000, 0.5000) and O at (0.5000, 0.5000, 0.0000).

As for the raw formation energy: 276.2 meV/atom. For the spin magnetization, the calculation gives 0.0 Bohr magnetons per cell.

Compound: SnPNO2
Source: the Alexandria database
Functional: SCAN
Structure: PBEsol geometry

The structure belongs to space group P4/mmm (No. 123); the cell edges are 3.9708, 3.9708 and 3.5955 Å and the angles 90.00°, 90.00° and 90.00°. The distinct sites, in fractional coordinates, are Sn at (0.0000, 0.0000, 0.0000), P at (0.5000, 0.5000, 0.0000), N at (0.5000, 0.5000, 0.5000) and O at (0.0000, 0.5000, 0.5000).

As for the raw formation energy: 791.8 meV/atom. For the spin magnetization, the calculation gives 0.0 Bohr magnetons per cell.

Compound: Sr3P6N8O6
Source: the Alexandria database
Functional: SCAN
Structure: PBEsol geometry

The structure belongs to space group P-3 (No. 147); the cell edges are 7.2961, 7.2961 and 6.0158 Å and the angles 90.00°, 90.00° and 120.00°. The distinct sites, in fractional coordinates, are Sr at (0.0000, 0.0000, 0.0000), Sr at (0.3333, 0.6667, 0.8826), P at (0.1753, 0.7774, 0.3883), N at (0.0283, 0.6970, 0.6074), N at (0.3333, 0.6667, 0.4180) and O at (0.0720, 0.7092, 0.1583).

As for the raw formation energy: -1874.0 meV/atom. For the spin magnetization, the calculation gives 0.0 Bohr magnetons per cell.

Compound: TcP2NO
Source: the Alexandria database
Functional: SCAN
Structure: PBEsol geometry

The structure belongs to space group P4/mmm (No. 123); the cell edges are 3.7261, 3.7261 and 3.8324 Å and the angles 90.00°, 90.00° and 90.00°. The distinct sites, in fractional coordinates, are Tc at (0.0000, 0.0000, 0.0000), P at (0.0000, 0.5000, 0.5000), N at (0.5000, 0.5000, 0.5000) and O at (0.5000, 0.5000, 0.0000).

As for the raw formation energy: 971.8 meV/atom. For the spin magnetization, the calculation gives 0.0 Bohr magnetons per cell.

Compound: TlP2NO
Source: the Alexandria database
Functional: SCAN
Structure: PBEsol geometry

The structure belongs to space group P4/mmm (No. 123); the cell edges are 5.1898, 5.1898 and 4.1006 Å and the angles 90.00°, 90.00° and 90.00°. The distinct sites, in fractional coordinates, are Tl at (0.0000, 0.0000, 0.0000), P at (0.0000, 0.5000, 0.0000), N at (0.5000, 0.5000, 0.5000) and O at (0.0000, 0.0000, 0.5000).

As for the raw formation energy: 1983.4 meV/atom. For the spin magnetization, the calculation gives 1.0 Bohr magnetons per cell.

Compound: TlPNO2
Source: the Alexandria database
Functional: SCAN
Structure: PBEsol geometry

The structure belongs to space group P4/mmm (No. 123); the cell edges are 3.5029, 3.5029 and 4.0485 Å and the angles 90.00°, 90.00° and 90.00°. The distinct sites, in fractional coordinates, are Tl at (0.0000, 0.0000, 0.0000), P at (0.5000, 0.5000, 0.5000), N at (0.5000, 0.5000, 0.0000) and O at (0.0000, 0.5000, 0.5000).

As for the raw formation energy: -332.9 meV/atom. For the spin magnetization, the calculation gives 0.0 Bohr magnetons per cell.

Compound: PWNO2
Source: the Alexandria database
Functional: SCAN
Structure: PBEsol geometry

The structure belongs to space group P4/mmm (No. 123); the cell edges are 3.7085, 3.7085 and 5.0510 Å and the angles 90.00°, 90.00° and 90.00°. The distinct sites, in fractional coordinates, are P at (0.0000, 0.0000, 0.0000), W at (0.0000, 0.0000, 0.5000), N at (0.5000, 0.5000, 0.0000) and O at (0.0000, 0.5000, 0.5000).

As for the raw formation energy: -151.4 meV/atom. For the spin magnetization, the calculation gives 1.5 Bohr magnetons per cell.